V2GaB | GGA-PBE | optimized geometry

```
V2GaB
1.0
0.0000 2.8689 2.8689
2.8689 0.0000 2.8689
2.8689 2.8689 0.0000
V Ga B
2 1 1
direct
0.2500 0.2500 0.2500
0.7500 0.7500 0.7500
0.0000 0.0000 0.0000
0.5000 0.5000 0.5000
```

Output
As for the space group: Fm-3m. The energy of formation from the pure elements is 0.291 eV/atom. The value obtained for the theoretical density is 6414 kg/m³. The calculation puts the excess energy over the best structure of this formula in the dataset at 707.4 meV/atom.